DFT (PBE) results for a geometry-optimized Pr2Fe14B structure.

Lattice parameters (Å, degrees): 8.7735 8.7735 12.1843 90.00 90.00 90.00
Fractional positions:
1 B 0.6235 0.3765 0.0000
2 B 0.3765 0.6235 0.0000
3 B 0.1235 0.1235 0.5000
4 B 0.8765 0.8765 0.5000
5 Fe 0.5000 0.0000 0.0000
6 Fe 0.0000 0.5000 0.0000
7 Fe 0.5000 0.5000 0.1144
8 Fe 0.5678 0.2247 0.1278
9 Fe 0.7753 0.4322 0.1278
10 Fe 0.2247 0.5678 0.1278
11 Fe 0.4322 0.7753 0.1278
12 Fe 0.3604 0.0369 0.1767
13 Fe 0.0369 0.3604 0.1767
14 Fe 0.9631 0.6396 0.1767
15 Fe 0.6396 0.9631 0.1767
16 Fe 0.0978 0.0978 0.2061
17 Fe 0.9022 0.9022 0.2061
18 Fe 0.3182 0.3182 0.2457
19 Fe 0.6818 0.6818 0.2457
20 Fe 0.8182 0.1818 0.2543
21 Fe 0.1818 0.8182 0.2543
22 Fe 0.5978 0.4022 0.2939
23 Fe 0.4022 0.5978 0.2939
24 Fe 0.5369 0.1396 0.3233
25 Fe 0.8604 0.4631 0.3233
26 Fe 0.1396 0.5369 0.3233
27 Fe 0.4631 0.8604 0.3233
28 Fe 0.2753 0.0678 0.3722
29 Fe 0.0678 0.2753 0.3722
30 Fe 0.9322 0.7247 0.3722
31 Fe 0.7247 0.9322 0.3722
32 Fe 0.0000 0.0000 0.3856
33 Fe 0.5000 0.0000 0.5000
34 Fe 0.0000 0.5000 0.5000
35 Fe 0.0000 0.0000 0.6144
36 Fe 0.2753 0.0678 0.6278
37 Fe 0.0678 0.2753 0.6278
38 Fe 0.9322 0.7247 0.6278
39 Fe 0.7247 0.9322 0.6278
40 Fe 0.5369 0.1396 0.6767
41 Fe 0.8604 0.4631 0.6767
42 Fe 0.1396 0.5369 0.6767
43 Fe 0.4631 0.8604 0.6767
44 Fe 0.5978 0.4022 0.7061
45 Fe 0.4022 0.5978 0.7061
46 Fe 0.8182 0.1818 0.7457
47 Fe 0.1818 0.8182 0.7457
48 Fe 0.3182 0.3182 0.7543
49 Fe 0.6818 0.6818 0.7543
50 Fe 0.0978 0.0978 0.7939
51 Fe 0.9022 0.9022 0.7939
52 Fe 0.3604 0.0369 0.8233
53 Fe 0.0369 0.3604 0.8233
54 Fe 0.9631 0.6396 0.8233
55 Fe 0.6396 0.9631 0.8233
56 Fe 0.5678 0.2247 0.8722
57 Fe 0.7753 0.4322 0.8722
58 Fe 0.2247 0.5678 0.8722
59 Fe 0.4322 0.7753 0.8722
60 Fe 0.5000 0.5000 0.8856
61 Pr 0.8578 0.1422 0.0000
62 Pr 0.2687 0.2687 0.0000
63 Pr 0.7313 0.7313 0.0000
64 Pr 0.1422 0.8578 0.0000
65 Pr 0.7687 0.2313 0.5000
66 Pr 0.3578 0.3578 0.5000
67 Pr 0.6422 0.6422 0.5000
68 Pr 0.2313 0.7687 0.5000

Computed properties:
distance to the lowest polymorph of the same formula	0	meV/atom
magnetic moment	1.834	μB/atom
space-group type	P4_2/mnm, No. 136